Entry from the Alexandria database: a geometry-optimized LiThScCo structure (GGA-PBE).

Calculated total energy in eV/atom: -5.72

Structure (extended XYZ):
```
4
Lattice="-2.156 4.279 0.360 -1.799 2.120 -3.918 -4.758 0.348 -0.572" Properties=species:S:1:pos:R:3 pbc="T T T"
Th -6.535 5.060 -3.098
Sc -2.178 1.687 -1.033
Co -4.357 3.374 -2.065
Li 0.000 0.000 0.000
```